VASP calculation (PBE) on a relaxed structure of YRhN2F.

Structure (POSCAR):
```
YRhN2F
1.0
-3.7924 -2.1134 1.2625
2.4599 -3.1619 2.0963
-0.0908 2.2908 3.5619
Y N F Rh
1 2 1 1
direct
0.0000 0.0000 0.0000
0.0000 0.5000 0.0000
0.5000 0.0000 0.0000
0.0000 0.0000 0.5000
0.5000 0.5000 0.5000
```

Output
Fermi-level density of states, states/eV/f.u.: 5.447
Total energy, Ha/atom: -0.22231
SG: P4/mmm (123)
Uncorrected formation energy, meV/atom: 418